Record 1
VASP calculation (PBE) on a relaxed structure of LaSm5Zn6.

Values from the calculation:
Energy, eV/atom: -3.328
Energy of formation from the pure elements, eV/f.u.: -3.77

Cell and atoms, written as CIF:
```
data_LaSm5Zn6
_chemical_formula_sum 'La1 Sm5 Zn6'
_space_group_name_H-M_alt 'P 1 2/m 1'
_space_group_IT_number 10
_cell_length_a 5.168
_cell_length_b 7.330
_cell_length_c 8.183
_cell_angle_alpha 90.00
_cell_angle_beta 108.24
_cell_angle_gamma 90.00
loop_
_space_group_symop_operation_xyz
'x,y,z'
'-x,-y,-z'
'-x,y,-z'
'x,-y,z'
loop_
_atom_site_label
_atom_site_fract_x
_atom_site_fract_y
_atom_site_fract_z
La1 0.000 0.000 0.000
Sm1 0.000 0.500 0.000
Sm2 0.333 0.000 0.666
Sm3 0.335 0.500 0.670
Zn1 0.170 0.255 0.339
Zn2 0.500 0.256 0.000
```

=====

Record 2
VASP calculation (PBE) on a relaxed structure of La4SmZn.

Values from the calculation:
Energy, eV/atom: -3.986
Energy of formation from the pure elements, eV/f.u.: 1.79
Offset from the most stable computed form, eV per atom: 0.394

Cell and atoms, written as CIF:
```
data_La4SmZn
_chemical_formula_sum 'La4 Sm1 Zn1'
_space_group_name_H-M_alt 'P 4/m m m'
_space_group_IT_number 123
_space_group_name_Hall '-P 4 2'
_cell_length_a 5.327
_cell_length_b 5.327
_cell_length_c 7.740
_cell_angle_alpha 90.00
_cell_angle_beta 90.00
_cell_angle_gamma 90.00
loop_
_atom_site_label
_atom_site_fract_x
_atom_site_fract_y
_atom_site_fract_z
La1 0.000 0.500 0.230
Sm1 0.000 0.000 0.500
Zn1 0.500 0.500 0.000
```